Density functional theory data (PBE) for a relaxed La4IrPb crystal.

The total moment is 0.00 μB/f.u. The value obtained for the offset from the most stable computed form is 0.000 eV per atom.

The structure belongs to space group P2_1/m (No. 11); the cell edges are 6.4258, 7.1850 and 8.5360 Å and the angles 90.00°, 94.77° and 90.00°. The asymmetric unit holds La at (0.1097, 0.2500, 0.0726), La at (0.1634, 0.7500, 0.3692), La at (0.3888, 0.5082, 0.7835), Ir at (0.3171, 0.7500, 0.0617) and Pb at (0.2854, 0.2500, 0.4472).